VASP calculation (PBE with a Hubbard U) on a geometry-optimized NpBe2Ni2O6 structure.

a b c (Å): 5.1722 5.1722 5.7056
angles (deg): 90.00 90.00 120.00
Site moments in Bohr magnetons follow the coordinates.
Fractional coordinates of all 11 atoms:
O 0.3304 0.3669 0.7667  0.08
Be 0.6667 0.3333 0.2179  0.00
O 0.6696 0.6331 0.2333  0.08
O 0.6331 0.9636 0.7667  0.08
O 0.0364 0.6696 0.7667  0.08
Ni 0.6667 0.3333 0.6631  1.71
O 0.3669 0.0364 0.2333  0.08
Ni 0.3333 0.6667 0.3369  1.71
O 0.9636 0.3304 0.2333  0.08
Np 0.0000 0.0000 0.0000  -2.99
Be 0.3333 0.6667 0.7821  0.00

Results
DOS at the Fermi energy: 0.930 states/eV per atom
Raw total energy: -76.56 eV per cell
Space-group type: P-3 (147)